The following is a GGA-PBE calculation of a relaxed Li3Cd4Cu crystal, from the Alexandria database.

Cell and atoms, written as extended XYZ:
```
8
Lattice="-0.674 -3.105 -0.804 3.185 -0.745 0.208 -1.530 -2.973 12.768" Properties=species:S:1:pos:R:3 pbc="T T T"
Cd -1.350 -2.623 11.267
Cd -0.180 -0.350 1.501
Cd -0.568 -1.104 4.744
Cd -0.962 -1.868 8.025
Cu 1.256 -1.925 -0.298
Li 0.883 -2.648 2.807
Li 0.491 -3.412 6.086
Li 0.098 -4.175 9.365
```

Summary:
The density of states at the Fermi level is 3.4 states/eV/cell. The total moment comes out at 0.0 μB per formula unit. As for the calculated total energy: -14.91 eV per cell.


The following is a GGA-PBE calculation of a relaxed ScCoSe2 crystal, from the Alexandria database.

Cell and atoms, written as extended XYZ:
```
4
Lattice="6.486 -0.139 -0.035 4.693 4.480 0.035 -5.579 -2.198 2.477" Properties=species:S:1:pos:R:3 pbc="T T T"
Co 5.944 2.308 0.000
Sc 2.888 2.434 1.256
Se 10.808 4.197 0.000
Se 2.730 -0.284 1.221
```

Summary:
The density of states at the Fermi level is 2.8 states/eV/cell. The total moment comes out at 1.8 μB per formula unit. As for the calculated total energy: -23.45 eV per cell. The uncorrected formation energy is -0.760 eV/atom. The distance to the lowest polymorph of the same formula comes out at 0.39 eV per formula unit.


The following is a GGA-PBE calculation of a relaxed LaPrBr3 crystal, from the Alexandria database.

Cell and atoms, written as extended XYZ:
```
10
Lattice="6.769 0.000 2.007 3.385 6.836 1.003 0.938 0.000 6.996" Properties=species:S:1:pos:R:3 pbc="T T T"
La 3.385 4.411 1.003
La 6.769 2.425 2.007
Pr 3.854 2.464 4.501
Pr 7.238 4.372 5.505
Br 5.306 0.000 3.287
Br 2.401 0.000 5.716
Br 1.933 1.974 2.261
Br 5.775 1.974 6.742
Br 9.159 4.861 7.745
Br 5.318 4.861 3.264
```

Summary:
The density of states at the Fermi level is 7.5 states/eV/cell. The total moment comes out at 0.0 μB per formula unit. As for the calculated total energy: -44.73 eV per cell. The uncorrected formation energy is -1.528 eV/atom. The distance to the lowest polymorph of the same formula comes out at 0.00 eV per formula unit.


The following is a GGA-PBE calculation of a relaxed Sm2ErGa2Rh5 crystal, from the Alexandria database.

Cell and atoms, written as extended XYZ:
```
20
Lattice="3.603 0.000 0.000 0.000 10.115 0.000 0.000 0.000 10.115" Properties=species:S:1:pos:R:3 pbc="T T T"
Sm 0.000 6.816 1.759
Sm 0.000 3.299 8.356
Sm 0.000 1.759 3.299
Sm 0.000 8.356 6.816
Er 0.000 0.000 0.000
Er 0.000 5.057 5.057
Ga 0.000 1.239 6.296
Ga 0.000 8.876 3.819
Ga 0.000 6.296 8.876
Ga 0.000 3.819 1.239
Rh 1.801 2.153 0.707
Rh 1.801 7.962 9.408
Rh 1.801 0.707 7.962
Rh 1.801 7.210 4.351
Rh 1.801 9.408 2.153
Rh 1.801 2.905 5.764
Rh 1.801 5.764 7.210
Rh 1.801 4.351 2.905
Rh 1.801 5.057 0.000
Rh 1.801 0.000 5.057
```

Summary:
The density of states at the Fermi level is 10.0 states/eV/cell. The total moment comes out at 0.0 μB per formula unit. As for the calculated total energy: -129.86 eV per cell.


The following is a GGA-PBE calculation of a relaxed Al2FeMo crystal, from the Alexandria database.

Cell and atoms, written as extended XYZ:
```
4
Lattice="-3.810 2.806 1.957 -1.677 -1.029 4.727 3.977 1.356 -2.926" Properties=species:S:1:pos:R:3 pbc="T T T"
Mo -0.324 0.641 2.697
Fe -2.739 0.887 3.337
Al -0.032 0.010 0.039
Al -1.157 2.483 1.028
```

Summary:
The density of states at the Fermi level is 3.9 states/eV/cell. The total moment comes out at 0.0 μB per formula unit. As for the calculated total energy: -27.31 eV per cell. The distance to the lowest polymorph of the same formula comes out at 0.37 eV per formula unit.


The following is a GGA-PBE calculation of a relaxed ReTeRh crystal, from the Alexandria database.

Cell and atoms, written as extended XYZ:
```
3
Lattice="1.541 -2.669 0.000 1.541 2.669 0.000 0.000 0.000 6.338" Properties=species:S:1:pos:R:3 pbc="T T T"
Re 0.000 0.000 0.036
Te 1.541 0.890 4.261
Rh 1.541 -0.890 2.041
```

Summary:
The density of states at the Fermi level is 2.5 states/eV/cell. The total moment comes out at 0.0 μB per formula unit. As for the calculated total energy: -21.47 eV per cell. The uncorrected formation energy is 0.491 eV/atom. The distance to the lowest polymorph of the same formula comes out at 0.37 eV per formula unit.


The following is a GGA-PBE calculation of a relaxed LiFeHg2 crystal, from the Alexandria database.

Cell and atoms, written as extended XYZ:
```
4
Lattice="-0.932 4.741 -2.065 -3.627 3.548 -1.365 -0.110 2.593 3.995" Properties=species:S:1:pos:R:3 pbc="T T T"
Fe -3.515 8.343 0.686
Hg -0.143 2.462 3.647
Hg -1.143 2.843 0.446
Li -2.314 5.267 0.066
```

Summary:
The density of states at the Fermi level is 3.0 states/eV/cell. The total moment comes out at 2.7 μB per formula unit. As for the calculated total energy: -10.40 eV per cell.


The following is a GGA-PBE calculation of a relaxed Sc2CoH crystal, from the Alexandria database.

Cell and atoms, written as extended XYZ:
```
4
Lattice="-4.693 -2.806 5.031 -2.330 -4.711 5.252 -2.298 -2.066 6.757" Properties=species:S:1:pos:R:3 pbc="T T T"
Sc -8.334 -8.568 15.237
Sc -0.986 -1.014 1.803
H -4.660 -4.791 8.520
Co 0.000 0.000 0.000
```

Summary:
The density of states at the Fermi level is 4.4 states/eV/cell. The total moment comes out at 0.5 μB per formula unit. As for the calculated total energy: -22.31 eV per cell. The distance to the lowest polymorph of the same formula comes out at 1.52 eV per formula unit.


The following is a GGA-PBE calculation of a relaxed Rb2CrAuI6 crystal, from the Alexandria database.

Cell and atoms, written as extended XYZ:
```
10
Lattice="-4.788 1.999 6.160 4.643 -4.280 4.999 3.325 3.768 6.626" Properties=species:S:1:pos:R:3 pbc="T T T"
I 1.465 1.081 6.053
I 1.715 0.407 11.732
I -0.036 -0.574 2.807
I -0.108 -1.707 8.351
I -2.415 0.420 5.868
I 2.270 -2.700 5.291
Cr -0.072 -1.140 5.579
Au 0.000 0.000 0.000
Rb -0.768 2.313 9.183
Rb 3.948 -0.826 8.602
```

Summary:
The density of states at the Fermi level is 1.4 states/eV/cell. The total moment comes out at 3.2 μB per formula unit. As for the calculated total energy: -30.89 eV per cell. The uncorrected formation energy is -0.676 eV/atom.


The following is a GGA-PBE calculation of a relaxed Ho3Tl2Bi crystal, from the Alexandria database.

Cell and atoms, written as extended XYZ:
```
6
Lattice="3.538 0.000 0.000 0.000 5.850 0.000 -1.769 -2.925 8.947" Properties=species:S:1:pos:R:3 pbc="T T T"
Ho 0.000 2.925 0.000
Ho 1.769 2.925 5.840
Ho 0.000 0.000 3.107
Tl 1.769 2.925 2.742
Tl 0.000 0.000 6.205
Bi 0.000 0.000 0.000
```

Summary:
The density of states at the Fermi level is 5.6 states/eV/cell. The total moment comes out at 0.0 μB per formula unit. As for the calculated total energy: -23.33 eV per cell.